A geometry-optimized PtW3 structure, computed with GGA-PBEsol.

Results
Formation enthalpy at 0 K: 0.1 eV/f.u.
E_tot: -96.48 eV/cell

Lattice parameters (Å, degrees): 2.683 9.191 5.008 90.00 90.00 90.00
Space group Imm2 (No. 44)
Asymmetric unit:
Pt 0.000 0.000 0.000 x2
W 0.000 0.252 0.324 x4
W 0.000 0.500 0.009 x2